Compound: Tb2Dy5Er3
Source: Alexandria
Functional: PBE
Structure: optimized geometry

Cell: 6.659 10.876 10.876 Å, 60.97 72.17 72.17°
Atoms (fractional coordinates):
Tb (0.475, 0.790, 0.261)
Tb (0.525, 0.210, 0.739)
Tb (0.975, 0.261, 0.790)
Tb (0.025, 0.739, 0.210)
Er (0.828, 0.880, 0.463)
Er (0.328, 0.463, 0.880)
Er (0.672, 0.537, 0.120)
Er (0.750, 0.000, 0.000)
Er (0.172, 0.120, 0.537)
Er (0.250, 0.000, 0.000)
Dy (0.830, 0.568, 0.772)
Dy (0.433, 0.817, 0.817)
Dy (0.933, 0.817, 0.817)
Dy (0.750, 0.500, 0.500)
Dy (0.170, 0.432, 0.228)
Dy (0.670, 0.228, 0.432)
Dy (0.567, 0.183, 0.183)
Dy (0.067, 0.183, 0.183)
Dy (0.250, 0.500, 0.500)
Dy (0.330, 0.772, 0.568)

Calculated values
The excess energy over the best structure of this formula in the dataset is 6.7 kJ/mol of atoms. Its space-group type is No. 72.

***

Compound: Tb3DyEr4
Source: Alexandria
Functional: PBE
Structure: optimized geometry

Cell: 5.587 3.520 13.280 Å, 89.98 102.14 90.00°
Atoms (fractional coordinates):
Er (0.723, 0.501, 0.446)
Er (0.396, 0.500, 0.793)
Er (0.277, 0.499, 0.554)
Er (0.604, 0.500, 0.207)
Dy (0.500, 0.000, 0.000)
Tb (0.845, 0.000, 0.689)
Tb (0.000, 0.500, 0.000)
Tb (0.155, 0.000, 0.311)

Calculated values
The excess energy over the best structure of this formula in the dataset is 18.8 kJ/mol of atoms. Its space-group type is No. 65.

***

Compound: Tb4Dy10Er
Source: Alexandria
Functional: PBE
Structure: optimized geometry

Cell: 7.652 9.374 9.374 Å, 80.41 65.91 65.91°
Atoms (fractional coordinates):
Er (0.000, 0.000, 0.000)
Dy (0.348, 0.701, 0.101)
Dy (0.750, 0.500, 0.500)
Dy (0.049, 0.101, 0.299)
Dy (0.150, 0.299, 0.899)
Dy (0.551, 0.101, 0.299)
Dy (0.850, 0.701, 0.101)
Dy (0.652, 0.299, 0.899)
Dy (0.250, 0.500, 0.500)
Dy (0.951, 0.899, 0.701)
Dy (0.449, 0.899, 0.701)
Tb (0.799, 0.600, 0.801)
Tb (0.601, 0.199, 0.600)
Tb (0.201, 0.400, 0.199)
Tb (0.399, 0.801, 0.400)

Calculated values
Its space-group type is No. 87.

***

Compound: Tb2Dy3Er7
Source: Alexandria
Functional: PBE
Structure: optimized geometry

Cell: 3.560 5.622 18.880 Å, 98.56 90.00 90.00°
Atoms (fractional coordinates):
Er (0.500, 0.071, 0.143)
Er (0.000, 0.409, 0.818)
Er (0.000, 0.000, 0.000)
Er (0.000, 0.591, 0.182)
Er (0.000, 0.769, 0.539)
Er (0.000, 0.231, 0.461)
Er (0.500, 0.929, 0.857)
Dy (0.500, 0.315, 0.630)
Dy (0.500, 0.500, 0.000)
Dy (0.500, 0.685, 0.370)
Tb (0.000, 0.147, 0.294)
Tb (0.000, 0.853, 0.706)

Calculated values
The excess energy over the best structure of this formula in the dataset is 0.0 kJ/mol of atoms. Its space-group type is No. 65.

***

Compound: Tb6DyEr3
Source: Alexandria
Functional: PBE
Structure: optimized geometry

Cell: 6.154 10.921 10.921 Å, 119.85 90.00 90.00°
Atoms (fractional coordinates):
Er (0.458, 0.940, 0.721)
Er (0.958, 0.721, 0.940)
Er (0.072, 0.389, 0.611)
Er (0.958, 0.060, 0.279)
Er (0.458, 0.279, 0.060)
Er (0.572, 0.611, 0.389)
Tb (0.145, 0.719, 0.281)
Tb (0.860, 0.954, 0.534)
Tb (0.360, 0.046, 0.466)
Tb (0.037, 0.380, 0.290)
Tb (0.645, 0.281, 0.719)
Tb (0.860, 0.466, 0.046)
Tb (0.418, 0.954, 0.046)
Tb (0.918, 0.046, 0.954)
Tb (0.037, 0.710, 0.620)
Tb (0.360, 0.534, 0.954)
Tb (0.537, 0.620, 0.710)
Tb (0.537, 0.290, 0.380)
Dy (0.140, 0.205, 0.795)
Dy (0.640, 0.795, 0.205)

Calculated values
The excess energy over the best structure of this formula in the dataset is 2.3 kJ/mol of atoms. Its space-group type is No. 36.

***

Compound: Tb2Dy3Er2
Source: Alexandria
Functional: PBE
Structure: optimized geometry

Cell: 3.479 8.450 8.815 Å, 118.54 101.38 90.00°
Atoms (fractional coordinates):
Tb (0.434, 0.090, 0.869)
Tb (0.566, 0.910, 0.131)
Dy (0.212, 0.800, 0.424)
Dy (0.788, 0.200, 0.576)
Dy (0.000, 0.500, 0.000)
Er (0.148, 0.327, 0.295)
Er (0.852, 0.673, 0.705)

Calculated values
The excess energy over the best structure of this formula in the dataset is 6.9 kJ/mol of atoms. Its space-group type is No. 12.

***

Compound: Tb12Dy2Er5
Source: Alexandria
Functional: PBE
Structure: optimized geometry

Cell: 9.151 9.073 8.501 Å, 90.98 90.00 120.29°
Atoms (fractional coordinates):
Tb (0.433, 0.253, 0.664)
Tb (0.180, 0.747, 0.336)
Tb (0.559, 0.118, 0.336)
Tb (0.336, 0.309, 0.241)
Tb (0.027, 0.691, 0.759)
Tb (0.664, 0.691, 0.759)
Tb (0.441, 0.882, 0.664)
Tb (0.973, 0.309, 0.241)
Tb (0.820, 0.253, 0.664)
Tb (0.090, 0.180, 0.884)
Tb (0.567, 0.747, 0.336)
Tb (0.910, 0.820, 0.116)
Dy (0.324, 0.000, 0.000)
Dy (0.676, 0.000, 0.000)
Er (0.232, 0.463, 0.573)
Er (0.000, 0.000, 0.500)
Er (0.699, 0.397, 0.014)
Er (0.768, 0.537, 0.427)
Er (0.301, 0.603, 0.986)

Calculated values
The excess energy over the best structure of this formula in the dataset is 6.1 kJ/mol of atoms. Its space-group type is No. 12.

***

Compound: Tb3DyEr12
Source: Alexandria
Functional: PBE
Structure: optimized geometry

Cell: 4.965 4.965 19.858 Å, 90.00 90.00 90.00°
Atoms (fractional coordinates):
Tb (0.000, 0.000, 0.250)
Tb (0.000, 0.000, 0.500)
Tb (0.000, 0.000, 0.750)
Er (0.500, 0.000, 0.125)
Er (0.000, 0.500, 0.875)
Er (0.000, 0.500, 0.625)
Er (0.500, 0.000, 0.875)
Er (0.500, 0.000, 0.375)
Er (0.500, 0.500, 0.250)
Er (0.000, 0.500, 0.375)
Er (0.500, 0.500, 0.000)
Er (0.500, 0.000, 0.625)
Er (0.000, 0.500, 0.125)
Er (0.500, 0.500, 0.750)
Er (0.500, 0.500, 0.500)
Dy (0.000, 0.000, 0.000)

Calculated values
Its space-group type is No. 123.

***

Compound: Tb4DyEr15
Source: Alexandria
Functional: PBE
Structure: optimized geometry

Cell: 4.966 4.966 24.810 Å, 90.00 90.00 90.00°
Atoms (fractional coordinates):
Er (0.500, 0.500, 0.400)
Er (0.000, 0.500, 0.900)
Er (0.500, 0.500, 0.200)
Er (0.000, 0.500, 0.700)
Er (0.000, 0.500, 0.100)
Er (0.500, 0.000, 0.900)
Er (0.500, 0.000, 0.100)
Er (0.000, 0.500, 0.300)
Er (0.500, 0.500, 0.600)
Er (0.000, 0.500, 0.500)
Er (0.500, 0.500, 0.000)
Er (0.500, 0.000, 0.500)
Er (0.500, 0.000, 0.700)
Er (0.500, 0.000, 0.300)
Er (0.500, 0.500, 0.800)
Tb (0.000, 0.000, 0.400)
Tb (0.000, 0.000, 0.800)
Tb (0.000, 0.000, 0.200)
Tb (0.000, 0.000, 0.600)
Dy (0.000, 0.000, 0.000)

Calculated values
Its space-group type is No. 123.

***

Compound: Tb4Dy3Er8
Source: Alexandria
Functional: PBE
Structure: optimized geometry

Cell: 6.662 9.187 9.187 Å, 87.80 111.28 111.28°
Atoms (fractional coordinates):
Tb (0.000, 0.500, 0.000)
Tb (0.000, 0.000, 0.000)
Tb (0.000, 0.000, 0.500)
Tb (0.500, 0.000, 0.000)
Er (0.000, 0.361, 0.639)
Er (0.526, 0.266, 0.266)
Er (0.005, 0.267, 0.267)
Er (0.500, 0.253, 0.747)
Er (0.474, 0.734, 0.734)
Er (0.000, 0.639, 0.361)
Er (0.500, 0.747, 0.253)
Er (0.995, 0.733, 0.733)
Dy (0.500, 0.000, 0.500)
Dy (0.500, 0.500, 0.500)
Dy (0.500, 0.500, 0.000)

Calculated values
The excess energy over the best structure of this formula in the dataset is 25.2 kJ/mol of atoms. Its space-group type is No. 12.

***

Compound: Tb6Dy5Er
Source: Alexandria
Functional: PBE
Structure: optimized geometry

Cell: 5.000 10.019 9.373 Å, 122.31 105.49 90.00°
Atoms (fractional coordinates):
Tb (0.167, 0.917, 0.333)
Tb (0.500, 0.250, 0.000)
Tb (0.500, 0.750, 0.000)
Tb (0.833, 0.584, 0.667)
Tb (0.833, 0.083, 0.667)
Tb (0.167, 0.416, 0.333)
Dy (0.666, 0.166, 0.333)
Dy (0.667, 0.667, 0.333)
Dy (0.000, 0.500, 0.000)
Dy (0.333, 0.333, 0.667)
Dy (0.334, 0.834, 0.667)
Er (0.000, 0.000, 0.000)

Calculated values
Its space-group type is No. 71.

***

Compound: Tb4DyEr5
Source: Alexandria
Functional: PBE
Structure: optimized geometry

Cell: 6.200 7.820 7.820 Å, 80.96 66.64 66.64°
Atoms (fractional coordinates):
Tb (0.105, 0.300, 0.393)
Tb (0.405, 0.393, 0.700)
Tb (0.498, 0.607, 0.300)
Tb (0.798, 0.700, 0.607)
Er (0.720, 0.083, 0.378)
Er (0.683, 0.000, 0.000)
Er (0.803, 0.378, 0.917)
Er (0.181, 0.917, 0.622)
Er (0.098, 0.622, 0.083)
Dy (0.220, 0.000, 0.000)

Calculated values
The excess energy over the best structure of this formula in the dataset is 24.0 kJ/mol of atoms. Its space-group type is No. 79.

***

Compound: Tb4Dy3Er8
Source: Alexandria
Functional: PBE
Structure: optimized geometry

Cell: 6.866 6.866 12.292 Å, 73.78 73.78 60.00°
Atoms (fractional coordinates):
Dy (0.000, 0.000, 0.500)
Dy (0.500, 0.000, 0.500)
Dy (0.000, 0.500, 0.500)
Tb (0.336, 0.336, 0.991)
Tb (0.664, 0.664, 0.009)
Tb (0.000, 0.000, 0.000)
Tb (0.500, 0.500, 0.500)
Er (0.752, 0.250, 0.749)
Er (0.248, 0.750, 0.251)
Er (0.755, 0.755, 0.735)
Er (0.750, 0.750, 0.251)
Er (0.750, 0.248, 0.251)
Er (0.250, 0.752, 0.749)
Er (0.245, 0.245, 0.265)
Er (0.250, 0.250, 0.749)

Calculated values
The excess energy over the best structure of this formula in the dataset is 0.0 kJ/mol of atoms. Its space-group type is No. 166.

***

Compound: TbDy12Er7
Source: Alexandria
Functional: PBE
Structure: optimized geometry

Cell: 8.622 8.622 8.622 Å, 95.03 95.03 95.03°
Atoms (fractional coordinates):
Dy (0.853, 0.585, 0.523)
Dy (0.685, 0.813, 0.250)
Dy (0.750, 0.315, 0.187)
Dy (0.585, 0.523, 0.853)
Dy (0.250, 0.685, 0.813)
Dy (0.315, 0.187, 0.750)
Dy (0.415, 0.477, 0.147)
Dy (0.523, 0.853, 0.585)
Dy (0.813, 0.250, 0.685)
Dy (0.187, 0.750, 0.315)
Dy (0.147, 0.415, 0.477)
Dy (0.477, 0.147, 0.415)
Er (0.918, 0.649, 0.981)
Er (0.019, 0.082, 0.351)
Er (0.082, 0.351, 0.019)
Er (0.981, 0.918, 0.649)
Er (0.351, 0.019, 0.082)
Er (0.649, 0.981, 0.918)
Er (0.500, 0.500, 0.500)
Tb (0.000, 0.000, 0.000)

Calculated values
The excess energy over the best structure of this formula in the dataset is 0.0 kJ/mol of atoms. Its space-group type is No. 148.

***

Compound: Tb6Dy4Er
Source: Alexandria
Functional: PBE
Structure: optimized geometry

Cell: 7.460 7.460 8.498 Å, 116.04 116.04 90.00°
Atoms (fractional coordinates):
Tb (0.083, 0.083, 0.627)
Tb (0.455, 0.917, 0.373)
Tb (0.917, 0.455, 0.373)
Tb (0.000, 0.500, 0.000)
Tb (0.500, 0.000, 0.000)
Tb (0.545, 0.545, 0.627)
Dy (0.754, 0.087, 0.841)
Dy (0.913, 0.913, 0.159)
Dy (0.246, 0.246, 0.159)
Dy (0.087, 0.754, 0.841)
Er (0.500, 0.500, 0.000)

Calculated values
The excess energy over the best structure of this formula in the dataset is 28.7 kJ/mol of atoms. Its space-group type is No. 121.

***

Compound: Tb4Dy5Er4
Source: Alexandria
Functional: PBE
Structure: optimized geometry

Cell: 4.978 9.342 9.342 Å, 85.93 74.55 74.55°
Atoms (fractional coordinates):
Dy (0.538, 0.769, 0.155)
Dy (0.462, 0.231, 0.845)
Dy (0.000, 0.000, 0.000)
Dy (0.307, 0.155, 0.231)
Dy (0.693, 0.845, 0.769)
Tb (0.154, 0.077, 0.615)
Tb (0.769, 0.385, 0.077)
Tb (0.231, 0.615, 0.923)
Tb (0.846, 0.923, 0.385)
Er (0.385, 0.691, 0.538)
Er (0.923, 0.462, 0.691)
Er (0.077, 0.538, 0.309)
Er (0.615, 0.309, 0.462)

Calculated values
Its space-group type is No. 87.

***

Compound: Tb5Dy5Er
Source: Alexandria
Functional: PBE
Structure: optimized geometry

Cell: 6.814 9.477 7.816 Å, 114.35 55.01 119.13°
Atoms (fractional coordinates):
Tb (0.648, 0.272, 0.773)
Tb (0.648, 0.273, 0.351)
Tb (0.352, 0.728, 0.227)
Tb (0.352, 0.727, 0.649)
Tb (0.000, 0.000, 0.500)
Dy (0.156, 0.364, 0.855)
Dy (0.767, 0.635, 0.686)
Dy (0.233, 0.365, 0.314)
Dy (0.500, 0.000, 0.000)
Dy (0.844, 0.636, 0.145)
Er (0.000, 0.000, 0.000)

Calculated values
The excess energy over the best structure of this formula in the dataset is 0.0 kJ/mol of atoms. Its space-group type is No. 2.

***

Compound: TbDy8Er3
Source: Alexandria
Functional: PBE
Structure: optimized geometry

Cell: 7.630 7.630 9.347 Å, 114.09 114.09 90.00°
Atoms (fractional coordinates):
Er (0.500, 0.500, 0.000)
Er (0.250, 0.750, 0.500)
Er (0.750, 0.250, 0.500)
Dy (0.875, 0.376, 0.250)
Dy (0.125, 0.125, 0.750)
Dy (0.624, 0.125, 0.750)
Dy (0.875, 0.875, 0.250)
Dy (0.624, 0.624, 0.750)
Dy (0.125, 0.624, 0.750)
Dy (0.376, 0.875, 0.250)
Dy (0.376, 0.376, 0.250)
Tb (0.000, 0.000, 0.000)

Calculated values
Its space-group type is No. 139.

***

Compound: TbDy8Er4
Source: Alexandria
Functional: PBE
Structure: optimized geometry

Cell: 7.217 7.217 9.970 Å, 90.00 111.22 120.00°
Atoms (fractional coordinates):
Er (0.000, 0.000, 0.000)
Er (0.500, 0.500, 0.000)
Er (0.000, 0.500, 0.000)
Er (0.500, 0.000, 0.000)
Dy (0.948, 0.751, 0.699)
Dy (0.432, 0.216, 0.649)
Dy (0.052, 0.249, 0.301)
Dy (0.948, 0.198, 0.699)
Dy (0.052, 0.802, 0.301)
Dy (0.501, 0.751, 0.699)
Dy (0.499, 0.249, 0.301)
Dy (0.568, 0.784, 0.351)
Tb (0.000, 0.500, 0.500)

Calculated values
Its space-group type is No. 166.

***

Number 1: VASP energy -86.46 eV per cell, E_form 273 meV/atom. Number 2: VASP energy -35.14 eV per cell, E_form 200 meV/atom. Number 3: VASP energy -58.14 eV per cell, E_form 731 meV/atom. Number 4: VASP energy -53.66 eV per cell, E_form 112 meV/atom. Number 5: VASP energy -89.17 eV per cell, E_form 149 meV/atom. Number 6: VASP energy -31.38 eV per cell, E_form 116 meV/atom. Number 7: VASP energy -85.16 eV per cell, E_form 128 meV/atom. Number 8: VASP energy -72.91 eV per cell, E_form 21 meV/atom. Number 9: VASP energy -91.14 eV per cell, E_form 21 meV/atom. Number 10: VASP energy -62.82 eV per cell, E_form 400 meV/atom. Number 11: VASP energy -55.15 eV per cell, E_form 17 meV/atom. Number 12: VASP energy -42.87 eV per cell, E_form 307 meV/atom. Number 13: VASP energy -66.74 eV per cell, E_form 140 meV/atom. Number 14: VASP energy -85.74 eV per cell, E_form 303 meV/atom. Number 15: VASP energy -46.07 eV per cell, E_form 426 meV/atom. Number 16: VASP energy -59.56 eV per cell, E_form 17 meV/atom. Number 17: VASP energy -49.14 eV per cell, E_form 144 meV/atom. Number 18: VASP energy -46.44 eV per cell, E_form 725 meV/atom. Number 19: VASP energy -56.91 eV per cell, E_form 215 meV/atom.